The following is a DFT calculation (PBE) of a relaxed Mo2AsRu crystal.

Output
For the total energy, the calculation gives -35.043 eV for the cell shown. The calculation puts the volume at 60 Å³ per cell. As for the space-group type: No. 119. The value obtained for the formation energy is 0.1362 eV/atom.

Unit cell a=4.980 b=4.980 c=4.980 alpha=135.26 beta=135.26 gamma=65.13
Sites, in units of the cell vectors:
1 Ru 0.500 0.500 0.000
2 Mo 0.250 0.750 0.500
3 Mo 0.000 0.000 0.000
4 As 0.750 0.250 0.500

The following is a DFT calculation (PBE) of a relaxed MoAsRu crystal.

Output
For the total energy, the calculation gives -24.524 eV for the cell shown. The calculation puts the volume at 46 Å³ per cell. As for the space-group type: No. 156. The value obtained for the formation energy is 0.0774 eV/atom.

Unit cell a=2.869 b=2.869 c=6.427 alpha=90.00 beta=90.00 gamma=120.00
Sites, in units of the cell vectors:
1 Ru 0.333 0.667 0.664
2 As 0.000 0.000 0.995
3 Mo 0.667 0.333 0.341

The following is a DFT calculation (PBE) of a relaxed MoAsRu3 crystal.

Output
For the total energy, the calculation gives -35.156 eV for the cell shown. For the excess energy over the best structure of this formula in the dataset, the calculation gives 483 meV per atom. The calculation puts the volume at 101 Å³ per cell. As for the space-group type: No. 221. The value obtained for the formation energy is 1.6304 eV/atom.

Unit cell a=4.654 b=4.654 c=4.654 alpha=90.00 beta=90.00 gamma=90.00
Sites, in units of the cell vectors:
1 Ru 0.500 0.000 0.000
2 Ru 0.000 0.000 0.500
3 Ru 0.000 0.500 0.000
4 As 0.500 0.500 0.500
5 Mo 0.000 0.000 0.000

The following is a DFT calculation (PBE) of a relaxed MoAsRu2 crystal.

Output
For the total energy, the calculation gives -33.381 eV for the cell shown. The calculation puts the volume at 59 Å³ per cell. As for the space-group type: No. 65. The value obtained for the formation energy is 0.1628 eV/atom.

Unit cell a=4.579 b=4.579 c=2.877 alpha=90.00 beta=90.00 gamma=102.64
Sites, in units of the cell vectors:
1 Mo 0.000 0.500 0.500
2 Ru 0.000 0.000 0.000
3 Ru 0.500 0.500 0.000
4 As 0.500 0.000 0.500

The following is a DFT calculation (PBE) of a relaxed Mo2AsRu crystal.

Output
For the total energy, the calculation gives -35.578 eV for the cell shown. The calculation puts the volume at 60 Å³ per cell. As for the space-group type: No. 44. The value obtained for the formation energy is 0.0023 eV/atom.

Unit cell a=5.247 b=5.247 c=5.247 alpha=146.84 beta=129.79 gamma=61.50
Sites, in units of the cell vectors:
1 Mo 0.739 0.239 0.500
2 Mo 0.028 0.028 0.000
3 Ru 0.477 0.477 0.000
4 As 0.257 0.757 0.500

The following is a DFT calculation (PBE) of a relaxed MoAsRu2 crystal.

Output
For the total energy, the calculation gives -63.102 eV for the cell shown. The calculation puts the volume at 169 Å³ per cell. As for the space-group type: No. 122. The value obtained for the formation energy is 0.6203 eV/atom.

Unit cell a=5.517 b=5.517 c=6.783 alpha=66.00 beta=66.00 gamma=90.00
Sites, in units of the cell vectors:
1 As 0.500 0.500 0.000
2 As 0.250 0.750 0.500
3 Ru 0.875 0.870 0.750
4 Ru 0.130 0.625 0.250
5 Ru 0.620 0.125 0.250
6 Ru 0.375 0.380 0.750
7 Mo 0.750 0.250 0.500
8 Mo 0.000 0.000 0.000

The following is a DFT calculation (PBE) of a relaxed MoAs2Ru crystal.

Output
For the total energy, the calculation gives -28.588 eV for the cell shown. For the excess energy over the best structure of this formula in the dataset, the calculation gives 294 meV per atom. The calculation puts the volume at 64 Å³ per cell. As for the space-group type: No. 47. The value obtained for the formation energy is 0.2046 eV/atom.

Unit cell a=3.786 b=3.025 c=5.630 alpha=89.99 beta=90.00 gamma=90.00
Sites, in units of the cell vectors:
1 As 0.000 0.750 0.017
2 As 0.000 0.750 0.483
3 Ru 0.500 0.750 0.750
4 Mo 0.500 0.250 0.250

The following is a DFT calculation (PBE) of a relaxed MoAsRu crystal.

Output
For the total energy, the calculation gives -49.982 eV for the cell shown. The calculation puts the volume at 90 Å³ per cell. As for the space-group type: No. 6. The value obtained for the formation energy is -0.0782 eV/atom.

Unit cell a=4.478 b=3.052 c=6.731 alpha=90.00 beta=100.90 gamma=90.00
Sites, in units of the cell vectors:
1 Mo 0.010 0.000 0.020
2 Mo 0.914 0.500 0.672
3 As 0.407 0.000 0.653
4 As 0.031 0.500 0.321
5 Ru 0.473 0.500 0.951
6 Ru 0.563 0.000 0.310

The following is a DFT calculation (PBE) of a relaxed MoAsRu2 crystal.

Output
For the total energy, the calculation gives -33.688 eV for the cell shown. The calculation puts the volume at 59 Å³ per cell. As for the space-group type: No. 47. The value obtained for the formation energy is 0.0861 eV/atom.

Unit cell a=2.868 b=3.826 c=5.392 alpha=90.00 beta=90.00 gamma=90.00
Sites, in units of the cell vectors:
1 Ru 0.000 0.000 0.997
2 Ru 0.000 0.000 0.503
3 Mo 0.500 0.500 0.750
4 As 0.500 0.500 0.250

The following is a DFT calculation (PBE) of a relaxed MoAsRu crystal.

Output
For the total energy, the calculation gives -24.873 eV for the cell shown. The calculation puts the volume at 44 Å³ per cell. As for the space-group type: No. 107. The value obtained for the formation energy is -0.0387 eV/atom.

Unit cell a=5.406 b=5.406 c=5.406 alpha=147.93 beta=147.93 gamma=45.98
Sites, in units of the cell vectors:
1 Ru 0.659 0.659 0.000
2 Mo 0.339 0.339 0.000
3 As 0.002 0.002 0.000

The following is a DFT calculation (PBE) of a relaxed MoAsRu crystal.

Output
For the total energy, the calculation gives -99.821 eV for the cell shown. The calculation puts the volume at 182 Å³ per cell. As for the space-group type: No. 8. The value obtained for the formation energy is -0.0662 eV/atom.

Unit cell a=7.103 b=3.059 c=9.074 alpha=90.00 beta=112.42 gamma=90.00
Sites, in units of the cell vectors:
1 Ru 0.065 0.000 0.775
2 Ru 0.731 0.500 0.617
3 Ru 0.731 0.000 0.117
4 Ru 0.065 0.500 0.275
5 As 0.640 0.500 0.305
6 As 0.640 0.000 0.805
7 As 0.374 0.000 0.435
8 As 0.374 0.500 0.935
9 Mo 0.299 0.500 0.633
10 Mo 0.964 0.500 0.971
11 Mo 0.964 0.000 0.471
12 Mo 0.299 0.000 0.133

The following is a DFT calculation (PBE) of a relaxed MoAs2Ru crystal.

Output
For the total energy, the calculation gives -29.439 eV for the cell shown. For the excess energy over the best structure of this formula in the dataset, the calculation gives 81 meV per atom. The calculation puts the volume at 63 Å³ per cell. As for the space-group type: No. 99. The value obtained for the formation energy is -0.0081 eV/atom.

Unit cell a=3.325 b=3.325 c=5.679 alpha=90.00 beta=90.00 gamma=90.00
Sites, in units of the cell vectors:
1 As 0.500 0.500 0.282
2 As 0.000 0.000 0.960
3 Mo 0.000 0.000 0.459
4 Ru 0.500 0.500 0.799

The following is a DFT calculation (PBE) of a relaxed MoAs2Ru crystal.

Output
For the total energy, the calculation gives -29.124 eV for the cell shown. For the excess energy over the best structure of this formula in the dataset, the calculation gives 159 meV per atom. The calculation puts the volume at 62 Å³ per cell. As for the space-group type: No. 12. The value obtained for the formation energy is 0.0704 eV/atom.

Unit cell a=4.252 b=4.252 c=5.302 alpha=77.58 beta=77.58 gamma=41.60
Sites, in units of the cell vectors:
1 Ru 0.250 0.250 0.250
2 As 0.502 0.502 0.498
3 As 0.998 0.998 0.002
4 Mo 0.750 0.750 0.750

The following is a DFT calculation (PBE) of a relaxed MoAs2Ru crystal.

Output
For the total energy, the calculation gives -29.558 eV for the cell shown. For the excess energy over the best structure of this formula in the dataset, the calculation gives 51 meV per atom. The calculation puts the volume at 62 Å³ per cell. As for the space-group type: No. 25. The value obtained for the formation energy is -0.0381 eV/atom.

Unit cell a=2.889 b=4.067 c=5.296 alpha=90.00 beta=90.00 gamma=90.00
Sites, in units of the cell vectors:
1 Mo 0.000 0.000 0.468
2 As 0.000 0.000 0.947
3 As 0.500 0.500 0.301
4 Ru 0.500 0.500 0.785

The following is a DFT calculation (PBE) of a relaxed Mo2AsRu crystal.

Output
For the total energy, the calculation gives -35.116 eV for the cell shown. The calculation puts the volume at 62 Å³ per cell. As for the space-group type: No. 25. The value obtained for the formation energy is 0.1179 eV/atom.

Unit cell a=2.941 b=4.093 c=5.109 alpha=90.00 beta=90.00 gamma=90.00
Sites, in units of the cell vectors:
1 As 0.500 0.500 0.749
2 Ru 0.000 0.000 0.502
3 Mo 0.500 0.500 0.253
4 Mo 0.000 0.000 0.996

The following is a DFT calculation (PBE) of a relaxed MoAsRu crystal.

Output
For the total energy, the calculation gives -24.929 eV for the cell shown. The calculation puts the volume at 45 Å³ per cell. As for the space-group type: No. 187. The value obtained for the formation energy is -0.0576 eV/atom.

Unit cell a=4.257 b=4.257 c=2.844 alpha=90.00 beta=90.00 gamma=120.00
Sites, in units of the cell vectors:
1 As 0.667 0.333 0.500
2 Ru 0.333 0.667 0.500
3 Mo 0.000 0.000 0.000

The following is a DFT calculation (PBE) of a relaxed MoAs2Ru crystal.

Output
For the total energy, the calculation gives -29.193 eV for the cell shown. For the excess energy over the best structure of this formula in the dataset, the calculation gives 142 meV per atom. The calculation puts the volume at 76 Å³ per cell. As for the space-group type: No. 160. The value obtained for the formation energy is 0.0532 eV/atom.

Unit cell a=10.501 b=10.501 c=10.501 alpha=15.98 beta=15.98 gamma=15.98
Sites, in units of the cell vectors:
1 Ru 0.755 0.755 0.755
2 As 0.225 0.225 0.225
3 As 0.028 0.028 0.028
4 Mo 0.492 0.492 0.492

The following is a DFT calculation (PBE) of a relaxed MoAsRu2 crystal.

Output
For the total energy, the calculation gives -33.570 eV for the cell shown. The calculation puts the volume at 58 Å³ per cell. As for the space-group type: No. 119. The value obtained for the formation energy is 0.1156 eV/atom.

Unit cell a=4.849 b=4.849 c=4.849 alpha=133.86 beta=133.86 gamma=67.30
Sites, in units of the cell vectors:
1 As 0.500 0.500 0.000
2 Ru 0.250 0.750 0.500
3 Ru 0.000 0.000 0.000
4 Mo 0.750 0.250 0.500

The following is a DFT calculation (PBE) of a relaxed MoAsRu crystal.

Output
For the total energy, the calculation gives -49.718 eV for the cell shown. The calculation puts the volume at 95 Å³ per cell. As for the space-group type: No. 6. The value obtained for the formation energy is -0.0341 eV/atom.

Unit cell a=5.611 b=3.063 c=5.699 alpha=90.00 beta=104.41 gamma=90.00
Sites, in units of the cell vectors:
1 Ru 0.090 0.500 0.597
2 Ru 0.419 0.000 0.930
3 Mo 0.385 0.000 0.418
4 Mo 0.089 0.500 0.098
5 As 0.805 0.000 0.292
6 As 0.683 0.500 0.740

The following is a DFT calculation (PBE) of a relaxed Mo2AsRu crystal.

Output
For the total energy, the calculation gives -34.846 eV for the cell shown. The calculation puts the volume at 61 Å³ per cell. As for the space-group type: No. 166. The value obtained for the formation energy is 0.1855 eV/atom.

Unit cell a=8.838 b=8.838 c=8.838 alpha=18.60 beta=18.60 gamma=18.60
Sites, in units of the cell vectors:
1 As 0.750 0.750 0.750
2 Ru 0.250 0.250 0.250
3 Mo 0.500 0.500 0.500
4 Mo 0.000 0.000 0.000